# 1
Entry from Alexandria: an optimized crystal structure of Li5Mg2Pd (GGA-PBE).

CIF file:
```
data_Li5Mg2Pd
_chemical_formula_sum 'Li10 Mg4 Pd2'
_cell_length_a 5.9325
_cell_length_b 11.7757
_cell_length_c 4.1337
_cell_angle_alpha 90.00
_cell_angle_beta 90.00
_cell_angle_gamma 90.00
_symmetry_space_group_name_H-M 'P b a m'
_symmetry_Int_Tables_number 55
loop_
_symmetry_equiv_pos_as_xyz
'x,y,z'
'-x,-y,-z'
'-x,-y,z'
'x,y,-z'
'x+1/2,-y+1/2,-z'
'-x+1/2,y+1/2,z'
'-x+1/2,y+1/2,-z'
'x+1/2,-y+1/2,z'
loop_
_atom_site_label
_atom_site_fract_x
_atom_site_fract_y
_atom_site_fract_z
Li1 0.0000 0.0000 0.0000
Li2 0.0497 0.2608 0.0000
Li3 0.2231 0.8712 0.5000
Mg1 0.2029 0.6080 0.5000
Pd1 0.0000 0.5000 0.0000
```

Output
Formation energy from the elements (eV per formula unit): -1.6
N(E_F) (states/eV/atom): 0.353
Calculated total energy (eV per atom): -2.444
Distance to the lowest polymorph of the same formula (meV per atom): 0

---

# 2
Entry from Alexandria: an optimized crystal structure of Sr2PmNi9 (GGA-PBE).

CIF file:
```
data_Sr2PmNi9
_chemical_formula_sum 'Sr6 Pm3 Ni27'
_cell_length_a 5.0790
_cell_length_b 5.0790
_cell_length_c 25.0116
_cell_angle_alpha 90.00
_cell_angle_beta 90.00
_cell_angle_gamma 120.00
_symmetry_space_group_name_H-M 'R -3 m'
_symmetry_Int_Tables_number 166
_symmetry_space_group_name_Hall '-R 3 2"'
loop_
_atom_site_label
_atom_site_fract_x
_atom_site_fract_y
_atom_site_fract_z
Sr1 0.0000 0.0000 0.1407
Pm1 0.0000 0.0000 0.0000
Ni1 0.0000 0.0000 0.3322
Ni2 0.0000 0.0000 0.5000
Ni3 0.0042 0.5021 0.0779
```

Output
Formation energy from the elements (eV per formula unit): -1.5
N(E_F) (states/eV/atom): 1.008
Calculated total energy (eV per atom): -5.137

---

# 3
Entry from Alexandria: an optimized crystal structure of YSbPdAu (GGA-PBE).

CIF file:
```
data_YSbPdAu
_chemical_formula_sum 'Y4 Sb4 Pd4 Au4'
_cell_length_a 6.9636
_cell_length_b 6.9636
_cell_length_c 6.9636
_cell_angle_alpha 90.00
_cell_angle_beta 90.00
_cell_angle_gamma 90.00
_symmetry_space_group_name_H-M 'F -4 3 m'
_symmetry_Int_Tables_number 216
_symmetry_space_group_name_Hall 'F -4 2 3'
loop_
_atom_site_label
_atom_site_fract_x
_atom_site_fract_y
_atom_site_fract_z
Y1 0.0000 0.0000 0.0000
Sb1 0.0000 0.0000 0.5000
Pd1 0.2500 0.2500 0.7500
Au1 0.2500 0.2500 0.2500
```

Output
N(E_F) (states/eV/atom): 0.577
Calculated total energy (eV per atom): -5.461
Raw formation energy (eV/atom): -0.70

---

# 4
Entry from Alexandria: an optimized crystal structure of AsRuSe (GGA-PBE).

CIF file:
```
data_AsRuSe
_chemical_formula_sum 'As4 Ru4 Se4'
_cell_length_a 6.0163
_cell_length_b 6.0163
_cell_length_c 6.0163
_cell_angle_alpha 90.00
_cell_angle_beta 90.00
_cell_angle_gamma 90.00
_symmetry_space_group_name_H-M 'F -4 3 m'
_symmetry_Int_Tables_number 216
_symmetry_space_group_name_Hall 'F -4 2 3'
loop_
_atom_site_label
_atom_site_fract_x
_atom_site_fract_y
_atom_site_fract_z
As1 0.0000 0.0000 0.0000
Ru1 0.2500 0.2500 0.2500
Se1 0.0000 0.0000 0.5000
```

Output
N(E_F) (states/eV/atom): 0.851
Calculated total energy (eV per atom): -5.919
Raw formation energy (eV/atom): -0.12

---

# 5
Entry from Alexandria: an optimized crystal structure of Nb2AlSb2 (GGA-PBE).

CIF file:
```
data_Nb2AlSb2
_chemical_formula_sum 'Nb4 Al2 Sb4'
_cell_length_a 7.4137
_cell_length_b 7.4137
_cell_length_c 3.7770
_cell_angle_alpha 90.00
_cell_angle_beta 90.00
_cell_angle_gamma 90.00
_symmetry_space_group_name_H-M 'P 4/m b m'
_symmetry_Int_Tables_number 127
_symmetry_space_group_name_Hall '-P 4 2ab'
loop_
_atom_site_label
_atom_site_fract_x
_atom_site_fract_y
_atom_site_fract_z
Nb1 0.1439 0.3561 0.0000
Al1 0.0000 0.0000 0.0000
Sb1 0.1538 0.6538 0.5000
```

Output
N(E_F) (states/eV/atom): 0.496
Calculated total energy (eV per atom): -6.493
Raw formation energy (eV/atom): -0.07

---

# 6
Entry from Alexandria: an optimized crystal structure of NdGaHRu (GGA-PBE).

CIF file:
```
data_NdGaHRu
_chemical_formula_sum 'Nd2 Ga2 H2 Ru2'
_cell_length_a 4.1114
_cell_length_b 4.1114
_cell_length_c 7.7855
_cell_angle_alpha 90.00
_cell_angle_beta 90.00
_cell_angle_gamma 90.00
_symmetry_space_group_name_H-M 'P 4/n m m'
_symmetry_Int_Tables_number 129
loop_
_symmetry_equiv_pos_as_xyz
'x,y,z'
'-x,-y,-z'
'-y+1/2,x,z'
'y+1/2,-x,-z'
'-x+1/2,-y+1/2,z'
'x+1/2,y+1/2,-z'
'y,-x+1/2,z'
'-y,x+1/2,-z'
'x+1/2,-y,-z'
'-x+1/2,y,z'
'-y,-x,-z'
'y,x,z'
'-x,y+1/2,-z'
'x,-y+1/2,z'
'y+1/2,x+1/2,-z'
'-y+1/2,-x+1/2,z'
loop_
_atom_site_label
_atom_site_fract_x
_atom_site_fract_y
_atom_site_fract_z
Nd1 0.2500 0.2500 0.1600
Ga1 0.2500 0.2500 0.6878
H1 0.2500 0.7500 0.0000
Ru1 0.2500 0.7500 0.5000
```

Output
N(E_F) (states/eV/atom): 0.871
Calculated total energy (eV per atom): -5.582

---

# 7
Entry from Alexandria: an optimized crystal structure of Sc2TiAlTl (GGA-PBE).

CIF file:
```
data_Sc2TiAlTl
_chemical_formula_sum 'Sc2 Ti1 Al1 Tl1'
_cell_length_a 5.0614
_cell_length_b 5.0614
_cell_length_c 4.8491
_cell_angle_alpha 90.00
_cell_angle_beta 90.00
_cell_angle_gamma 90.00
_symmetry_space_group_name_H-M 'P 4/m m m'
_symmetry_Int_Tables_number 123
_symmetry_space_group_name_Hall '-P 4 2'
loop_
_atom_site_label
_atom_site_fract_x
_atom_site_fract_y
_atom_site_fract_z
Sc1 0.0000 0.5000 0.0000
Ti1 0.0000 0.0000 0.5000
Al1 0.0000 0.0000 0.0000
Tl1 0.5000 0.5000 0.5000
```

Output
Formation energy from the elements (eV per formula unit): 1.6
N(E_F) (states/eV/atom): 0.906
Calculated total energy (eV per atom): -5.010
Distance to the lowest polymorph of the same formula (meV per atom): 0

---

# 8
Entry from Alexandria: an optimized crystal structure of V3ZnRh4 (GGA-PBE).

CIF file:
```
data_V3ZnRh4
_chemical_formula_sum 'V6 Zn2 Rh8'
_cell_length_a 8.7335
_cell_length_b 5.5496
_cell_length_c 4.5375
_cell_angle_alpha 90.00
_cell_angle_beta 90.00
_cell_angle_gamma 90.00
_symmetry_space_group_name_H-M 'P m m a'
_symmetry_Int_Tables_number 51
loop_
_symmetry_equiv_pos_as_xyz
'x,y,z'
'-x,-y,-z'
'-x+1/2,-y,z'
'x+1/2,y,-z'
'x+1/2,-y,-z'
'-x+1/2,y,z'
'-x,y,-z'
'x,-y,z'
loop_
_atom_site_label
_atom_site_fract_x
_atom_site_fract_y
_atom_site_fract_z
V1 0.0000 0.0000 0.0000
V2 0.2500 0.0000 0.3751
V3 0.2500 0.5000 0.3674
Zn1 0.0000 0.5000 0.0000
Rh1 0.0000 0.2468 0.5000
Rh2 0.2500 0.2520 0.8806
```

Output
Formation energy from the elements (eV per formula unit): -2.9
N(E_F) (states/eV/atom): 0.932
Calculated total energy (eV per atom): -7.619